A plane-wave DFT calculation with GGA-PBE was carried out for a relaxed structure of NaScPdSe3.

Properties
Calculated density: 5.0 Mg/m³
E: -58.91 eV for the cell shown
Energy above the most stable polymorph in this dataset: 0.0 meV per atom

```
data_NaScPdSe3
_cell_length_a 7.9786
_cell_length_b 3.8700
_cell_length_c 9.2080
_cell_angle_alpha 90.00
_cell_angle_beta 104.83
_cell_angle_gamma 90.00
_symmetry_space_group_name_H-M 'P 1 21/m 1'
_symmetry_Int_Tables_number 11
_symmetry_space_group_name_Hall '-P 2yb'
loop_
_atom_site_label
_atom_site_fract_x
_atom_site_fract_y
_atom_site_fract_z
Na1 0.1933 0.2500 0.2385
Sc1 0.3363 0.7500 0.8457
Pd1 0.1064 0.2500 0.5761
Se1 0.0999 0.2500 0.8511
Se2 0.2811 0.7500 0.5387
Se3 0.4243 0.7500 0.1487
```

---

A plane-wave DFT calculation with GGA-PBE was carried out for a relaxed structure of PuPaPb.

Properties
Calculated density: 13.3 Mg/m³
E: -101.71 eV for the cell shown

```
data_PuPaPb
_cell_length_a 6.9765
_cell_length_b 6.9765
_cell_length_c 6.9765
_cell_angle_alpha 90.00
_cell_angle_beta 90.00
_cell_angle_gamma 90.00
_symmetry_space_group_name_H-M 'F -4 3 m'
_symmetry_Int_Tables_number 216
_symmetry_space_group_name_Hall 'F -4 2 3'
loop_
_atom_site_label
_atom_site_fract_x
_atom_site_fract_y
_atom_site_fract_z
Pu1 0.0000 0.0000 0.0000
Pa1 0.2500 0.2500 0.7500
Pb1 0.0000 0.0000 0.5000
```

---

A plane-wave DFT calculation with GGA-PBE was carried out for a relaxed structure of Zr2GaSi.

Properties
Calculated density: 6.3 Mg/m³
E: -57.58 eV for the cell shown

```
data_Zr2GaSi
_cell_length_a 5.4152
_cell_length_b 3.8172
_cell_length_c 7.6697
_cell_angle_alpha 90.00
_cell_angle_beta 110.17
_cell_angle_gamma 90.00
_symmetry_space_group_name_H-M 'P 1 21/m 1'
_symmetry_Int_Tables_number 11
_symmetry_space_group_name_Hall '-P 2yb'
loop_
_atom_site_label
_atom_site_fract_x
_atom_site_fract_y
_atom_site_fract_z
Zr1 0.2029 0.2500 0.4236
Zr2 0.2761 0.7500 0.0675
Ga1 0.3788 0.7500 0.7086
Si1 0.1333 0.2500 0.7914
```

---

A plane-wave DFT calculation with GGA-PBE was carried out for a relaxed structure of BeCuNiSn.

Properties
Calculated density: 7.9 Mg/m³
E: -66.64 eV for the cell shown
Energy above the most stable polymorph in this dataset: 59.8 meV per atom

```
data_BeCuNiSn
_cell_length_a 5.9425
_cell_length_b 5.9425
_cell_length_c 5.9425
_cell_angle_alpha 90.00
_cell_angle_beta 90.00
_cell_angle_gamma 90.00
_symmetry_space_group_name_H-M 'F -4 3 m'
_symmetry_Int_Tables_number 216
_symmetry_space_group_name_Hall 'F -4 2 3'
loop_
_atom_site_label
_atom_site_fract_x
_atom_site_fract_y
_atom_site_fract_z
Be1 0.0000 0.0000 0.0000
Cu1 0.2500 0.2500 0.7500
Ni1 0.0000 0.0000 0.5000
Sn1 0.2500 0.2500 0.2500
```

---

A plane-wave DFT calculation with GGA-PBE was carried out for a relaxed structure of YZrBi.

Properties
Calculated density: 6.6 Mg/m³
E: -70.97 eV for the cell shown

```
data_YZrBi
_cell_length_a 7.3256
_cell_length_b 7.3256
_cell_length_c 7.3256
_cell_angle_alpha 90.00
_cell_angle_beta 90.00
_cell_angle_gamma 90.00
_symmetry_space_group_name_H-M 'F -4 3 m'
_symmetry_Int_Tables_number 216
_symmetry_space_group_name_Hall 'F -4 2 3'
loop_
_atom_site_label
_atom_site_fract_x
_atom_site_fract_y
_atom_site_fract_z
Y1 0.0000 0.0000 0.0000
Zr1 0.2500 0.2500 0.2500
Bi1 0.2500 0.2500 0.7500
```

---

A plane-wave DFT calculation with GGA-PBE was carried out for a relaxed structure of AcNdTh.

Properties
Calculated density: 8.0 Mg/m³
E: -55.99 eV for the cell shown
Energy above the most stable polymorph in this dataset: 0.0 meV per atom

```
data_AcNdTh
_cell_length_a 7.9293
_cell_length_b 7.9293
_cell_length_c 7.9293
_cell_angle_alpha 90.00
_cell_angle_beta 90.00
_cell_angle_gamma 90.00
_symmetry_space_group_name_H-M 'F -4 3 m'
_symmetry_Int_Tables_number 216
_symmetry_space_group_name_Hall 'F -4 2 3'
loop_
_atom_site_label
_atom_site_fract_x
_atom_site_fract_y
_atom_site_fract_z
Ac1 0.0000 0.0000 0.0000
Nd1 0.2500 0.2500 0.7500
Th1 0.0000 0.0000 0.5000
```